Computed, not measured: a relaxed Tb3Tm6ZrSc2 crystal at the PBE level of DFT.

## Properties
SG: No. 12
Crystal system: monoclinic
Calculated formation energy in eV/f.u.: 0.6
Electronic total energy in eV per atom: -5.112

Lattice parameters (Å, degrees): 5.960 5.960 11.375 95.01 95.01 119.94
Positions (direct):
1 Tb 0.000 0.000 0.000
2 Tb 0.333 0.667 0.000
3 Tb 0.667 0.333 0.000
4 Tm 0.091 0.420 0.261
5 Tm 0.251 0.251 0.738
6 Tm 0.420 0.091 0.261
7 Tm 0.580 0.909 0.739
8 Tm 0.749 0.749 0.262
9 Tm 0.909 0.580 0.739
10 Zr 0.500 0.500 0.500
11 Sc 0.167 0.833 0.500
12 Sc 0.833 0.167 0.500

***

Computed, not measured: a relaxed TbScV4 crystal at the PBE level of DFT.

## Properties
SG: No. 216
Crystal system: cubic
Calculated formation energy in eV/f.u.: 1.8
Electronic total energy in eV per atom: -7.599

Lattice parameters (Å, degrees): 5.304 5.304 5.304 60.00 60.00 60.00
Positions (direct):
1 Tb 0.000 0.000 0.000
2 Sc 0.750 0.750 0.750
3 V 0.373 0.373 0.373
4 V 0.373 0.373 0.880
5 V 0.373 0.880 0.373
6 V 0.880 0.373 0.373

***

Computed, not measured: a relaxed TbScW crystal at the PBE level of DFT.

## Properties
SG: No. 69
Crystal system: orthorhombic
Calculated formation energy in eV/f.u.: 2.2
Electronic total energy in eV per atom: -7.226

Lattice parameters (Å, degrees): 8.018 7.626 4.584 77.70 68.33 33.96
Positions (direct):
1 Tb 0.250 0.250 0.250
2 Tb 0.750 0.750 0.750
3 Sc 0.093 0.093 0.907
4 Sc 0.907 0.907 0.093
5 W 0.334 0.666 0.334
6 W 0.666 0.334 0.666

***

Computed, not measured: a relaxed Tb8Y5Sc crystal at the PBE level of DFT.

## Properties
SG: No. 1
Crystal system: triclinic
Calculated formation energy in eV/f.u.: 2.1
Electronic total energy in eV per atom: -5.257

Lattice parameters (Å, degrees): 8.458 8.459 8.582 114.83 118.67 94.96
Positions (direct):
1 Tb 0.000 0.000 0.000
2 Tb 0.006 0.453 0.110
3 Tb 0.198 0.367 0.570
4 Tb 0.290 0.869 0.774
5 Tb 0.327 0.776 0.117
6 Tb 0.488 0.693 0.515
7 Tb 0.717 0.128 0.186
8 Tb 0.870 0.037 0.573
9 Y 0.368 0.336 0.040
10 Y 0.538 0.280 0.469
11 Y 0.569 0.150 0.775
12 Y 0.663 0.663 0.997
13 Y 0.853 0.594 0.462
14 Sc 0.135 0.910 0.382

***

Computed, not measured: a relaxed Tb8Y2Sc crystal at the PBE level of DFT.

## Properties
SG: No. 12
Crystal system: monoclinic
Calculated formation energy in eV/f.u.: 2.3
Electronic total energy in eV per atom: -4.908
Energy above the lowest structure with this stoichiometry in meV per atom: 42

Lattice parameters (Å, degrees): 9.208 9.208 6.410 108.02 108.02 42.85
Positions (direct):
1 Tb 0.059 0.059 0.249
2 Tb 0.165 0.633 0.306
3 Tb 0.296 0.296 0.682
4 Tb 0.367 0.835 0.694
5 Tb 0.633 0.165 0.306
6 Tb 0.704 0.704 0.318
7 Tb 0.835 0.367 0.694
8 Tb 0.941 0.941 0.751
9 Y 0.218 0.218 0.111
10 Y 0.782 0.782 0.889
11 Sc 0.500 0.500 0.000

***

Computed, not measured: a relaxed Tb8Y3Sc3 crystal at the PBE level of DFT.

## Properties
SG: No. 71
Crystal system: orthorhombic
Calculated formation energy in eV/f.u.: 5.3
Electronic total energy in eV per atom: -5.013

Lattice parameters (Å, degrees): 10.232 10.232 10.232 149.71 124.32 64.70
Positions (direct):
1 Tb 0.046 0.201 0.845
2 Tb 0.140 0.376 0.764
3 Tb 0.357 0.201 0.155
4 Tb 0.387 0.624 0.764
5 Tb 0.613 0.376 0.236
6 Tb 0.643 0.799 0.845
7 Tb 0.860 0.624 0.236
8 Tb 0.954 0.799 0.155
9 Y 0.245 0.000 0.245
10 Y 0.500 0.500 0.000
11 Y 0.755 0.000 0.755
12 Sc 0.000 0.500 0.500
13 Sc 0.333 0.833 0.500
14 Sc 0.667 0.167 0.500

***

Computed, not measured: a relaxed TbYSc6 crystal at the PBE level of DFT.

## Properties
SG: No. 38
Crystal system: orthorhombic
Calculated formation energy in eV/f.u.: 0.0
Electronic total energy in eV per atom: -6.131

Lattice parameters (Å, degrees): 5.309 6.790 11.757 90.00 90.00 90.00
Positions (direct):
1 Tb 0.000 0.000 0.000
2 Tb 0.000 0.500 0.500
3 Y 0.500 0.000 0.332
4 Y 0.500 0.500 0.832
5 Sc 0.000 0.000 0.503
6 Sc 0.000 0.243 0.748
7 Sc 0.000 0.257 0.248
8 Sc 0.000 0.500 0.003
9 Sc 0.000 0.743 0.248
10 Sc 0.000 0.757 0.748
11 Sc 0.500 0.000 0.829
12 Sc 0.500 0.244 0.585
13 Sc 0.500 0.256 0.085
14 Sc 0.500 0.500 0.329
15 Sc 0.500 0.744 0.085
16 Sc 0.500 0.756 0.585

***

Computed, not measured: a relaxed Tb3Y7Sc crystal at the PBE level of DFT.

## Properties
SG: No. 12
Crystal system: monoclinic
Calculated formation energy in eV/f.u.: 1.6
Electronic total energy in eV per atom: -5.804
Energy above the lowest structure with this stoichiometry in meV per atom: 0

Lattice parameters (Å, degrees): 9.812 9.812 6.551 100.65 100.65 138.77
Positions (direct):
1 Tb 0.000 0.000 0.000
2 Tb 0.000 0.500 0.500
3 Tb 0.500 0.000 0.500
4 Y 0.086 0.914 0.500
5 Y 0.122 0.441 0.060
6 Y 0.441 0.122 0.060
7 Y 0.500 0.500 0.500
8 Y 0.559 0.878 0.940
9 Y 0.878 0.559 0.940
10 Y 0.914 0.086 0.500
11 Sc 0.500 0.500 0.000